No. 1
12
Lattice="4.284 0.000 0.000 0.000 4.979 0.000 0.000 0.000 15.401" Properties=species:S:1:pos:R:3 comment="Ba2CdSi3 (PBE, relaxed)" magnetic_moment_mub_per_atom=0.0002 e_tot_ev_per_atom=-3.8116 space_group="Imm2 (44)" n_ef_per_ev_atom=0.570 pbc="T T T"
Ba 0.000 0.000 0.000
Ba 0.000 2.489 4.115
Ba 2.142 0.000 11.816
Ba 2.142 2.489 7.700
Cd 0.000 0.000 9.122
Cd 2.142 2.489 1.421
Si 0.000 0.000 6.423
Si 0.000 2.489 10.477
Si 0.000 2.489 12.852
Si 2.142 0.000 2.777
Si 2.142 0.000 5.152
Si 2.142 2.489 14.124



No. 2
12
Lattice="2.969 -8.957 0.000 2.969 8.957 0.000 0.000 0.000 8.442" Properties=species:S:1:pos:R:3 comment="Ba6Cd5Si (PBE, relaxed)" magnetic_moment_mub_per_atom=0.0000 e_tot_ev_per_atom=-2.0900 space_group="Cmmm (65)" n_ef_per_ev_atom=0.724 pbc="T T T"
Ba 0.000 0.000 1.979
Ba 0.000 0.000 6.463
Ba 2.969 2.866 2.052
Ba 2.969 2.866 6.390
Ba 2.969 -2.866 2.052
Ba 2.969 -2.866 6.390
Cd 2.969 5.892 4.221
Cd 2.969 5.858 0.000
Cd 2.969 0.000 4.221
Cd 2.969 -5.858 0.000
Cd 2.969 -5.892 4.221
Si 2.969 0.000 0.000



No. 3
6
Lattice="0.000 4.056 4.056 4.056 0.000 4.056 4.056 4.056 0.000" Properties=species:S:1:pos:R:3 comment="BaCdSi4 (PBE, relaxed)" magnetic_moment_mub_per_atom=0.0000 e_tot_ev_per_atom=-3.9043 space_group="F-43m (216)" n_ef_per_ev_atom=0.554 pbc="T T T"
Ba 0.000 0.000 0.000
Cd 6.084 6.084 6.084
Si 3.166 3.166 3.166
Si 4.946 4.946 3.166
Si 4.946 3.166 4.946
Si 3.166 4.946 4.946



No. 4
4
Lattice="3.996 0.000 0.000 0.000 4.152 0.000 0.000 0.000 8.540" Properties=species:S:1:pos:R:3 comment="Ba2CdSi (PBE, relaxed)" magnetic_moment_mub_per_atom=0.0000 e_tot_ev_per_atom=-2.7722 space_group="Pmmm (47)" n_ef_per_ev_atom=0.666 pbc="T T T"
Ba 0.000 0.000 1.881
Ba 0.000 0.000 6.658
Cd 1.998 2.076 4.270
Si 1.998 2.076 0.000



No. 5
4
Lattice="4.190 0.000 0.000 0.000 5.451 0.000 0.000 0.000 6.981" Properties=species:S:1:pos:R:3 comment="Ba2CdSi (PBE, relaxed)" magnetic_moment_mub_per_atom=0.0000 e_tot_ev_per_atom=-2.5198 space_group="Pmm2 (25)" n_ef_per_ev_atom=0.796 pbc="T T T"
Ba 0.000 0.000 0.000
Ba 2.095 2.726 3.026
Cd 0.000 0.000 3.635
Si 2.095 2.726 6.372



No. 6
8
Lattice="6.474 0.000 0.000 0.000 11.986 0.000 -1.563 0.000 2.920" Properties=species:S:1:pos:R:3 comment="BaCd2Si (PBE, relaxed)" magnetic_moment_mub_per_atom=0.0000 e_tot_ev_per_atom=-2.1145 space_group="C2/m (12)" n_ef_per_ev_atom=0.529 pbc="T T T"
Ba 0.000 0.000 0.000
Ba 3.237 5.993 0.000
Cd 0.837 2.996 1.460
Cd 0.837 8.989 1.460
Cd 4.074 2.996 1.460
Cd 4.074 8.989 1.460
Si 0.000 5.993 0.000
Si 3.237 0.000 0.000



No. 7
12
Lattice="4.103 0.000 0.000 0.000 5.144 0.000 0.000 0.000 16.620" Properties=species:S:1:pos:R:3 comment="BaCdSi (PBE, relaxed)" magnetic_moment_mub_per_atom=0.0000 e_tot_ev_per_atom=-3.1255 space_group="Imma (74)" n_ef_per_ev_atom=0.494 pbc="T T T"
Ba 0.000 1.286 2.376
Ba 0.000 3.858 14.244
Ba 2.052 1.286 5.934
Ba 2.052 3.858 10.686
Cd 0.000 1.286 9.026
Cd 0.000 3.858 7.594
Cd 2.052 1.286 15.904
Cd 2.052 3.858 0.716
Si 0.000 1.286 11.803
Si 0.000 3.858 4.817
Si 2.052 1.286 13.127
Si 2.052 3.858 3.493



No. 8
9
Lattice="6.353 -2.379 0.000 6.353 2.379 0.000 -2.167 0.000 9.442" Properties=species:S:1:pos:R:3 comment="Ba3Cd4Si2 (PBE, relaxed)" magnetic_moment_mub_per_atom=0.0000 e_tot_ev_per_atom=-2.5609 space_group="C2/m (12)" n_ef_per_ev_atom=0.553 pbc="T T T"
Ba 0.000 0.000 0.000
Ba 3.476 0.000 3.273
Ba 7.063 0.000 6.169
Cd -0.156 0.000 3.554
Cd 1.531 0.000 8.766
Cd 9.008 0.000 0.676
Cd 10.695 0.000 5.888
Si 3.392 0.000 6.842
Si 7.147 0.000 2.599



No. 9
16
Lattice="6.412 0.000 0.000 0.000 6.412 0.000 0.000 0.000 19.233" Properties=species:S:1:pos:R:3 comment="Ba2CdSi (PBE, relaxed)" magnetic_moment_mub_per_atom=0.0000 e_tot_ev_per_atom=-2.3015 space_group="I-42d (122)" n_ef_per_ev_atom=0.509 pbc="T T T"
Ba 1.381 1.603 2.404
Ba 1.603 4.587 7.212
Ba 1.603 5.032 16.829
Ba 1.825 1.603 12.021
Ba 4.587 4.809 12.021
Ba 4.809 1.381 16.829
Ba 4.809 1.825 7.212
Ba 5.032 4.809 2.404
Cd 0.000 0.000 9.617
Cd 0.000 3.206 14.425
Cd 3.206 0.000 4.808
Cd 3.206 3.206 0.000
Si 0.000 0.000 0.000
Si 0.000 3.206 4.808
Si 3.206 0.000 14.425
Si 3.206 3.206 9.617



No. 10
4
Lattice="5.637 0.000 0.000 0.000 4.180 0.000 -1.191 0.000 6.858" Properties=species:S:1:pos:R:3 comment="Ba2CdSi (PBE, relaxed)" magnetic_moment_mub_per_atom=0.0000 e_tot_ev_per_atom=-2.5215 space_group="P2/m (10)" n_ef_per_ev_atom=0.918 pbc="T T T"
Ba 0.000 0.000 0.000
Ba 2.223 2.090 3.429
Cd -0.595 0.000 3.429
Si 2.818 2.090 0.000



No. 11
4
Lattice="5.009 0.000 0.000 0.000 4.622 0.000 -0.635 0.000 5.542" Properties=species:S:1:pos:R:3 comment="BaCd2Si (PBE, relaxed)" magnetic_moment_mub_per_atom=0.0000 e_tot_ev_per_atom=-2.3458 space_group="P2/m (10)" n_ef_per_ev_atom=0.521 pbc="T T T"
Ba 0.000 0.000 0.000
Cd 1.803 2.311 4.135
Cd 2.571 2.311 1.407
Si 2.187 0.000 2.771



No. 12
4
Lattice="4.020 0.000 0.000 0.000 4.020 0.000 0.000 0.000 9.463" Properties=species:S:1:pos:R:3 comment="Ba2CdSi (PBE, relaxed)" magnetic_moment_mub_per_atom=0.1405 e_tot_ev_per_atom=-2.5223 space_group="P4mm (99)" n_ef_per_ev_atom=0.948 pbc="T T T"
Ba 0.000 0.000 0.000
Ba 2.010 2.010 4.025
Cd 0.000 0.000 6.103
Si 2.010 2.010 7.404



No. 13
16
Lattice="7.596 0.000 0.000 0.000 7.596 0.000 0.000 0.000 7.596" Properties=species:S:1:pos:R:3 comment="BaCd2Si (PBE, relaxed)" magnetic_moment_mub_per_atom=0.0000 e_tot_ev_per_atom=-2.3103 space_group="F-43m (216)" n_ef_per_ev_atom=0.318 pbc="T T T"
Ba 0.000 0.000 0.000
Ba 0.000 3.798 3.798
Ba 3.798 0.000 3.798
Ba 3.798 3.798 0.000
Cd 0.000 0.000 3.798
Cd 0.000 3.798 0.000
Cd 1.899 1.899 5.697
Cd 1.899 5.697 1.899
Cd 3.798 0.000 0.000
Cd 3.798 3.798 3.798
Cd 5.697 1.899 1.899
Cd 5.697 5.697 5.697
Si 1.899 1.899 1.899
Si 1.899 5.697 5.697
Si 5.697 1.899 5.697
Si 5.697 5.697 1.899



No. 14
18
Lattice="-5.674 5.767 5.937 5.674 -5.767 5.937 5.674 5.767 -5.937" Properties=species:S:1:pos:R:3 comment="Ba6CdSi2 (PBE, relaxed)" magnetic_moment_mub_per_atom=0.0318 e_tot_ev_per_atom=-2.8283 space_group="Immm (71)" n_ef_per_ev_atom=1.065 pbc="T T T"
Ba 5.674 -3.551 3.786
Ba 3.306 0.000 2.709
Ba 8.043 0.000 2.709
Ba 3.627 3.318 0.000
Ba 7.722 3.318 0.000
Ba 0.000 2.216 2.151
Ba 5.674 3.551 3.786
Ba -2.047 2.449 5.937
Ba 2.047 2.449 5.937
Ba -2.369 5.767 3.229
Ba 2.369 5.767 3.229
Ba 0.000 9.318 2.151
Cd 5.674 0.000 0.000
Cd 0.000 5.767 0.000
Si 1.260 0.000 0.000
Si 10.089 0.000 0.000
Si 0.000 0.000 4.723
Si 0.000 0.000 7.151



No. 15
8
Lattice="8.165 0.000 0.000 0.000 4.634 0.000 -2.612 0.000 6.199" Properties=species:S:1:pos:R:3 comment="BaCd2Si (PBE, relaxed)" magnetic_moment_mub_per_atom=0.0000 e_tot_ev_per_atom=-2.3785 space_group="C2/m (12)" n_ef_per_ev_atom=0.615 pbc="T T T"
Ba 0.000 0.000 0.000
Ba 4.082 2.317 0.000
Cd 0.064 0.000 3.954
Cd 1.406 2.317 2.246
Cd 4.146 2.317 3.954
Cd 5.489 0.000 2.246
Si -1.306 2.317 3.100
Si 2.776 0.000 3.100



No. 16
16
Lattice="-4.310 4.310 8.861 4.310 -4.310 8.861 4.310 4.310 -8.861" Properties=species:S:1:pos:R:3 comment="Ba5CdSi2 (PBE, relaxed)" magnetic_moment_mub_per_atom=0.0000 e_tot_ev_per_atom=-2.9760 space_group="I4/mcm (140)" n_ef_per_ev_atom=0.902 pbc="T T T"
Ba 0.000 0.000 0.000
Ba 5.819 1.509 -2.378
Ba 1.509 2.801 -2.378
Ba 5.819 1.509 2.378
Ba 1.509 2.801 2.378
Ba 0.000 0.000 8.861
Ba 2.801 1.509 6.483
Ba -1.509 2.801 6.483
Ba 2.801 1.509 11.239
Ba -1.509 2.801 11.239
Cd 0.000 0.000 4.431
Cd 0.000 0.000 13.292
Si 3.438 0.872 0.000
Si 3.438 -0.872 8.861
Si 0.872 5.182 0.000
Si 0.872 3.438 8.861



No. 17
6
Lattice="5.024 0.000 0.000 0.000 4.417 0.000 -0.016 0.000 8.241" Properties=species:S:1:pos:R:3 comment="BaCdSi (PBE, relaxed)" magnetic_moment_mub_per_atom=0.0000 e_tot_ev_per_atom=-3.0744 space_group="P2_1/m (11)" n_ef_per_ev_atom=0.568 pbc="T T T"
Ba 0.000 1.104 1.794
Ba 5.007 3.313 6.447
Cd 2.491 1.104 4.985
Cd 2.516 3.313 3.256
Si 2.499 1.104 7.673
Si 2.509 3.313 0.568



No. 18
4
Lattice="5.841 0.000 0.000 0.000 5.841 0.000 0.000 0.000 4.140" Properties=species:S:1:pos:R:3 comment="Ba2CdSi (PBE, relaxed)" magnetic_moment_mub_per_atom=0.0000 e_tot_ev_per_atom=-2.7477 space_group="P4/mmm (123)" n_ef_per_ev_atom=0.628 pbc="T T T"
Ba 0.000 2.921 0.000
Ba 2.921 0.000 0.000
Cd 0.000 0.000 2.070
Si 2.921 2.921 2.070



No. 19
4
Lattice="4.386 0.000 0.000 0.000 4.408 0.000 -2.177 0.000 6.255" Properties=species:S:1:pos:R:3 comment="BaCd2Si (PBE, relaxed)" magnetic_moment_mub_per_atom=0.0000 e_tot_ev_per_atom=-2.3938 space_group="Pm (6)" n_ef_per_ev_atom=0.388 pbc="T T T"
Ba 0.000 0.000 0.000
Cd 0.024 0.000 3.446
Cd 2.208 2.204 3.110
Si 0.012 2.204 4.931



No. 20
24
Lattice="8.043 0.000 0.000 0.000 11.804 0.000 -3.705 0.000 10.108" Properties=species:S:1:pos:R:3 comment="Ba3CdSi2 (PBE, relaxed)" magnetic_moment_mub_per_atom=0.0000 e_tot_ev_per_atom=-3.1914 space_group="P2_1/c (14)" pbc="T T T"
Ba 0.512 2.667 3.155
Ba -1.340 3.236 8.209
Ba 0.089 6.595 5.225
Ba 1.942 11.111 0.171
Ba 1.893 6.136 1.173
Ba 0.040 11.570 6.226
Ba 4.298 0.234 3.881
Ba 2.446 5.668 8.935
Ba 2.396 0.693 9.936
Ba 4.249 5.209 4.882
Ba 5.678 8.569 1.899
Ba 3.826 9.138 6.953
Cd -0.731 8.037 8.401
Cd 1.121 9.669 3.347
Cd 3.217 2.135 6.761
Cd 5.070 3.767 1.707
Si -2.498 6.338 7.844
Si -0.646 11.368 2.790
Si 3.204 2.213 1.189
Si 1.351 3.689 6.243
Si 2.987 8.115 3.865
Si 1.134 9.591 8.919
Si 4.984 0.436 7.317
Si 6.837 5.466 2.264